1.
Density functional theory data (PBE) for a geometry-optimized LaAl2Ge2 structure.

Magnetization in μB/cell: 0.000
Energy of formation from the pure elements in kJ per mole of atoms: -19.41
Total energy in eV/atom: -4.531

Cell lengths 7.8330, 7.8330, 3.4754 Å; angles 90.00, 90.00, 90.00 degrees
Fractional coordinates of all 10 atoms:
Ge: 0.3650 0.8650 0.0000
Ge: 0.8650 0.6350 0.0000
Ge: 0.6350 0.1350 0.0000
Ge: 0.1350 0.3650 0.0000
Al: 0.1457 0.6457 0.5000
Al: 0.6457 0.8543 0.5000
Al: 0.8543 0.3543 0.5000
Al: 0.3543 0.1457 0.5000
La: 0.0000 0.0000 0.0000
La: 0.5000 0.5000 0.0000

---

2.
Density functional theory data (PBE) for a geometry-optimized BaHg2Bi2Pb2 structure.

Magnetization in μB/cell: 0.000
Energy of formation from the pure elements in kJ per mole of atoms: -26.96
Total energy in eV/atom: -2.809

Cell lengths 5.4300, 5.4300, 10.2023 Å; angles 74.57, 74.57, 60.00 degrees
Fractional coordinates of all 7 atoms:
Ba: 0.0000 0.0000 0.0000
Hg: 0.6133 0.6133 0.1602
Hg: 0.3867 0.3867 0.8398
Bi: 0.7558 0.7558 0.7324
Bi: 0.2442 0.2442 0.2676
Pb: 0.1323 0.1323 0.6030
Pb: 0.8677 0.8677 0.3970

---

3.
Density functional theory data (PBE) for a geometry-optimized TiReNF2 structure.

Magnetization in μB/cell: 3.928
Total energy in eV/atom: -6.910
Formation energy (no corrections) in eV per atom: -0.428
E above lowest polymorph in eV/atom: 0.0000

Cell lengths 3.9044, 3.9044, 4.2277 Å; angles 90.00, 90.00, 90.00 degrees
Fractional coordinates of all 5 atoms:
Re: 0.5000 0.5000 0.5000
N: 0.0000 0.0000 0.5000
F: 0.0000 0.5000 0.0000
F: 0.5000 0.0000 0.0000
Ti: 0.0000 0.0000 0.0000

---

4.
Density functional theory data (PBE) for a geometry-optimized Cu2H3ClO3 structure.

Magnetization in μB/cell: 3.074
Total energy in eV/atom: -4.650
E above lowest polymorph in eV/atom: 0.0133

Cell lengths 6.1900, 5.7027, 5.8067 Å; angles 87.98, 90.00, 90.00 degrees
Fractional coordinates of all 18 atoms:
Cu: 0.2500 0.5281 0.0072
Cu: 0.0000 0.5000 0.5000
Cu: 0.5000 0.5000 0.5000
Cu: 0.7500 0.4719 0.9928
H: 0.9600 0.8031 0.8009
H: 0.2500 0.1705 0.5378
H: 0.7500 0.8295 0.4622
H: 0.5400 0.8031 0.8009
H: 0.0400 0.1969 0.1991
H: 0.4600 0.1969 0.1991
Cl: 0.7500 0.1097 0.7243
Cl: 0.2500 0.8903 0.2757
O: 0.4937 0.3671 0.1880
O: 0.7500 0.6726 0.3954
O: 0.2500 0.3274 0.6046
O: 0.5063 0.6329 0.8120
O: 0.9937 0.6329 0.8120
O: 0.0063 0.3671 0.1880